NiAgI2O8 | PBE+U | optimized geometry

Cell: 7.1999 7.1999 6.8492 Å, 90.00 90.00 90.00°
With the nearest neighbours (Å) after each atom.
Space group I-4m2 (No. 119)
Inequivalent atoms, fractional coordinates:
1 Ni 0.0000 0.0000 0.0000 (multiplicity 2)  4 O 2.18
2 Ag 0.0000 0.5000 0.2500 (multiplicity 2)  4 O 2.28
3 I 0.0000 0.0000 0.5000 (multiplicity 2)  4 O 1.83
4 I 0.0000 0.5000 0.7500 (multiplicity 2)  4 O 1.88
5 O 0.0000 0.1920 0.3241 (multiplicity 8)  1 I 1.83
6 O 0.0000 0.2924 0.9165 (multiplicity 8)  1 I 1.88

Properties
Calculated total energy   -48.4 eV/f.u.